## PuCuPb (PBE-GGA)

Data for PuCuPb after structural relaxation.

Summary:
SG: P2_1/m
M_tot, μB per formula unit: 5.6
E_form, eV/atom: -0.0260
E_tot, eV/atom: -7.40

Cell lengths 4.648, 4.744, 6.567 Å; angles 90.00, 110.60, 90.00 degrees
Fractional positions:
Pu: 0.095 0.250 0.189
Pu: 0.905 0.750 0.811
Cu: 0.249 0.750 0.495
Cu: 0.751 0.250 0.505
Pb: 0.381 0.250 0.766
Pb: 0.619 0.750 0.234